! Mg2TaSe2 (PBE, relaxed); values from VASP
&SYSTEM
  ibrav = 0, nat = 10, ntyp = 3
/
ATOMIC_SPECIES
Ta 180.95 Ta.upf
Mg 24.30 Mg.upf
Se 78.96 Se.upf
ATOMIC_POSITIONS crystal
Ta 0.0000 0.0000 0.0000
Ta 0.5000 0.5000 0.0000
Mg 0.6516 0.8484 0.5000
Mg 0.3484 0.1516 0.5000
Mg 0.8484 0.3484 0.5000
Mg 0.1516 0.6516 0.5000
Se 0.1597 0.3403 0.0000
Se 0.6597 0.1597 0.0000
Se 0.3403 0.8403 0.0000
Se 0.8403 0.6597 0.0000
CELL_PARAMETERS angstrom
7.2293 0.0000 0.0000
0.0000 7.2293 0.0000
0.0000 0.0000 3.6091
! energy above the most stable polymorph in this dataset	0.0000	eV/atom
! V	18.86	Å³ per atom
! DOS at the Fermi energy	0.742	states/eV/atom
! SG	P4/mbm (127)
! formation energy without anion corrections	-0.275	eV/atom
! theoretical density	6.8	Mg/m³

! CrPS2I (PBE, relaxed); values from VASP
&SYSTEM
  ibrav = 0, nat = 5, ntyp = 4
/
ATOMIC_SPECIES
P 30.97 P.upf
S 32.06 S.upf
Cr 52.00 Cr.upf
I 126.90 I.upf
ATOMIC_POSITIONS crystal
P 0.0000 0.0000 0.5000
S 0.5000 0.0000 0.0000
S 0.0000 0.5000 0.0000
Cr 0.5000 0.5000 0.5000
I 0.0000 0.0000 0.0000
CELL_PARAMETERS angstrom
5.0531 0.0000 0.0000
0.0000 5.0531 0.0000
0.0000 0.0000 5.2401
! energy above the most stable polymorph in this dataset	1.0168	eV/atom
! V	26.76	Å³ per atom
! DOS at the Fermi energy	0.718	states/eV/atom
! SG	P4/mmm (123)
! formation energy without anion corrections	1.311	eV/atom
! theoretical density	3.4	Mg/m³

! Ge3H5Pd12 (PBE, relaxed); values from VASP
&SYSTEM
  ibrav = 0, nat = 80, ntyp = 3
/
ATOMIC_SPECIES
H 1.01 H.upf
Pd 106.42 Pd.upf
Ge 72.64 Ge.upf
ATOMIC_POSITIONS crystal
H 0.3750 0.1250 0.7500
H 0.8750 0.2500 0.6250
H 0.2500 0.8750 0.1250
H 0.0000 0.0000 0.5000
H 0.0000 0.5000 0.0000
H 0.2500 0.3750 0.6250
H 0.1250 0.3750 0.2500
H 0.5000 0.0000 0.0000
H 0.1250 0.7500 0.3750
H 0.7500 0.1250 0.8750
H 0.8750 0.6250 0.7500
H 0.5000 0.5000 0.5000
H 0.0000 0.5000 0.5000
H 0.5000 0.0000 0.5000
H 0.7500 0.6250 0.3750
H 0.6250 0.8750 0.2500
H 0.3750 0.2500 0.1250
H 0.0000 0.0000 0.0000
H 0.6250 0.7500 0.8750
H 0.5000 0.5000 0.0000
Pd 0.2980 0.4099 0.8155
Pd 0.8155 0.9099 0.2980
Pd 0.0901 0.9057 0.3881
Pd 0.0943 0.1845 0.4824
Pd 0.7020 0.1119 0.0176
Pd 0.8881 0.2980 0.4824
Pd 0.4099 0.2980 0.3155
Pd 0.9057 0.0901 0.8881
Pd 0.9099 0.0943 0.6119
Pd 0.9824 0.3881 0.2980
Pd 0.3155 0.5176 0.4057
Pd 0.0176 0.4057 0.8155
Pd 0.9057 0.8155 0.5176
Pd 0.1119 0.7020 0.5176
Pd 0.4824 0.7980 0.8881
Pd 0.5943 0.9824 0.6845
Pd 0.6119 0.5943 0.9099
Pd 0.6119 0.0176 0.2020
Pd 0.1845 0.0901 0.7020
Pd 0.9824 0.5943 0.1845
Pd 0.4057 0.3881 0.5901
Pd 0.1119 0.4099 0.0943
Pd 0.2980 0.8881 0.9824
Pd 0.5176 0.2020 0.1119
Pd 0.8155 0.9057 0.0176
Pd 0.3155 0.7980 0.4099
Pd 0.1845 0.0943 0.9824
Pd 0.2020 0.6845 0.0901
Pd 0.8881 0.5901 0.9057
Pd 0.9099 0.8155 0.7980
Pd 0.6845 0.4824 0.5943
Pd 0.5176 0.3155 0.9057
Pd 0.2020 0.5176 0.6119
Pd 0.3881 0.4057 0.0901
Pd 0.4099 0.1119 0.5943
Pd 0.0176 0.6119 0.7020
Pd 0.6845 0.2020 0.5901
Pd 0.5901 0.7020 0.6845
Pd 0.0943 0.9099 0.1119
Pd 0.7980 0.4824 0.3881
Pd 0.7020 0.5901 0.1845
Pd 0.0901 0.1845 0.2020
Pd 0.5901 0.8881 0.4057
Pd 0.3881 0.9824 0.7980
Pd 0.4824 0.6845 0.0943
Pd 0.4057 0.0176 0.3155
Pd 0.7980 0.3155 0.9099
Pd 0.5943 0.6119 0.4099
Ge 0.7500 0.8750 0.6250
Ge 0.8750 0.7500 0.1250
Ge 0.6250 0.3750 0.7500
Ge 0.1250 0.8750 0.7500
Ge 0.2500 0.6250 0.8750
Ge 0.3750 0.7500 0.6250
Ge 0.8750 0.1250 0.2500
Ge 0.3750 0.6250 0.2500
Ge 0.2500 0.1250 0.3750
Ge 0.6250 0.2500 0.3750
Ge 0.1250 0.2500 0.8750
Ge 0.7500 0.3750 0.1250
CELL_PARAMETERS angstrom
10.9766 0.0000 0.0000
-3.6589 10.3489 0.0000
-3.6589 -5.1744 8.9624
! VASP energy	-394.65	eV/cell
! V	12.73	Å³ per atom
! DOS at the Fermi energy	0.352	states/eV/atom
! SG	Ia-3d (230)
! theoretical density	9.8	Mg/m³